A geometry-optimized YFe2Ni structure. Source: the Alexandria database, functional PBE.

The structure belongs to space group I-42d (No. 122); the cell edges are 4.1600, 4.1600 and 16.7344 Å and the angles 90.00°, 90.00° and 90.00°. Symmetry generates all atoms from Y at (0.0000, 0.0000, 0.0000), Fe at (0.0709, 0.2500, 0.6250) and Ni at (0.0000, 0.0000, 0.5000).

The value obtained for the energy relative to the elements is 0.36 eV per atom. The calculation puts the electronic total energy at -111.0 eV/cell. The density comes out at 5.95 Mg/m³.

=====

A geometry-optimized YFe2Ni structure. Source: the Alexandria database, functional PBE.

The structure belongs to space group Imm2 (No. 44); the cell edges are 4.4029, 4.4141 and 6.2725 Å and the angles 90.00°, 90.00° and 90.00°. Symmetry generates all atoms from Y at (0.0000, 0.0000, 0.0000), Fe at (0.0000, 0.0000, 0.5003), Fe at (0.0000, 0.5000, 0.7504) and Ni at (0.0000, 0.5000, 0.2493).

The value obtained for the energy relative to the elements is 0.14 eV per atom. The calculation puts the electronic total energy at -57.2 eV/cell. The density comes out at 7.06 Mg/m³.

=====

A geometry-optimized YFe2Ni structure. Source: the Alexandria database, functional PBE.

The structure belongs to space group I4/mmm (No. 139); the cell edges are 3.7542, 3.7542 and 8.7945 Å and the angles 90.00°, 90.00° and 90.00°. Symmetry generates all atoms from Y at (0.0000, 0.0000, 0.0000), Fe at (0.0000, 0.5000, 0.2500) and Ni at (0.0000, 0.0000, 0.5000).

The value obtained for the energy relative to the elements is 0.15 eV per atom. The calculation puts the electronic total energy at -57.1 eV/cell. The density comes out at 6.95 Mg/m³.

=====

A geometry-optimized YFe3Ni structure. Source: the Alexandria database, functional PBE.

The structure belongs to space group Pm-3m (No. 221); the cell edges are 4.4309, 4.4309 and 4.4309 Å and the angles 90.00°, 90.00° and 90.00°. Symmetry generates all atoms from Y at (0.0000, 0.0000, 0.0000), Fe at (0.0000, 0.5000, 0.5000) and Ni at (0.5000, 0.5000, 0.5000).

The value obtained for the energy relative to the elements is 0.50 eV per atom. The calculation puts the electronic total energy at -35.1 eV/cell. The density comes out at 6.02 Mg/m³. The value obtained for the energy above the most stable polymorph in this dataset is 0 meV/atom.

=====

A geometry-optimized YFeNi2 structure. Source: the Alexandria database, functional PBE.

The structure belongs to space group F-43m (No. 216); the cell edges are 6.2121, 6.2121 and 6.2121 Å and the angles 90.00°, 90.00° and 90.00°. Symmetry generates all atoms from Y at (0.0000, 0.0000, 0.0000), Fe at (0.2500, 0.2500, 0.2500), Ni at (0.0000, 0.0000, 0.5000) and Ni at (0.2500, 0.2500, 0.7500).

The value obtained for the energy relative to the elements is 0.09 eV per atom. The calculation puts the electronic total energy at -104.5 eV/cell. The density comes out at 7.26 Mg/m³.

=====

A geometry-optimized YFeNi2 structure. Source: the Alexandria database, functional PBE.

The structure belongs to space group Fm-3m (No. 225); the cell edges are 6.2785, 6.2785 and 6.2785 Å and the angles 90.00°, 90.00° and 90.00°. Symmetry generates all atoms from Y at (0.0000, 0.0000, 0.0000), Fe at (0.0000, 0.0000, 0.5000) and Ni at (0.2500, 0.2500, 0.2500).

The value obtained for the energy relative to the elements is 0.02 eV per atom. The calculation puts the electronic total energy at -105.6 eV/cell. The density comes out at 7.04 Mg/m³.

=====

A geometry-optimized Y3Fe2Ni7 structure. Source: the Alexandria database, functional PBE.

The structure belongs to space group R-3m (No. 166, hexagonal axes); the cell edges are 5.0171, 5.0171 and 24.4119 Å and the angles 90.00°, 90.00° and 120.00°. Symmetry generates all atoms from Y at (0.0000, 0.0000, 0.0000), Y at (0.0000, 0.0000, 0.1387), Fe at (0.0000, 0.0000, 0.3326), Ni at (0.0000, 0.0000, 0.5000) and Ni at (0.0012, 0.5006, 0.0810).

The value obtained for the energy relative to the elements is -0.33 eV per atom. The calculation puts the electronic total energy at -242.3 eV/cell. The density comes out at 7.39 Mg/m³.

=====

A geometry-optimized YFeNi3 structure. Source: the Alexandria database, functional PBE.

The structure belongs to space group Pm-3m (No. 221); the cell edges are 4.6265, 4.6265 and 4.6265 Å and the angles 90.00°, 90.00° and 90.00°. Symmetry generates all atoms from Y at (0.0000, 0.0000, 0.0000), Fe at (0.5000, 0.5000, 0.5000) and Ni at (0.0000, 0.0000, 0.5000).

The value obtained for the energy relative to the elements is 1.56 eV per atom. The calculation puts the electronic total energy at -24.5 eV/cell. The density comes out at 5.38 Mg/m³. The value obtained for the energy above the most stable polymorph in this dataset is 1676 meV/atom.

=====

A geometry-optimized YFeNi structure. Source: the Alexandria database, functional PBE.

The structure belongs to space group F-43m (No. 216); the cell edges are 6.2893, 6.2893 and 6.2893 Å and the angles 90.00°, 90.00° and 90.00°. Symmetry generates all atoms from Y at (0.0000, 0.0000, 0.0000), Fe at (0.2500, 0.2500, 0.2500) and Ni at (0.2500, 0.2500, 0.7500).

The value obtained for the energy relative to the elements is 0.89 eV per atom. The calculation puts the electronic total energy at -72.2 eV/cell. The density comes out at 5.43 Mg/m³.

=====

A geometry-optimized YFe2Ni structure. Source: the Alexandria database, functional PBE.

The structure belongs to space group P4/mmm (No. 123); the cell edges are 3.1576, 3.1576 and 6.2991 Å and the angles 90.00°, 90.00° and 90.00°. Symmetry generates all atoms from Y at (0.0000, 0.0000, 0.0000), Fe at (0.5000, 0.5000, 0.3215) and Ni at (0.0000, 0.0000, 0.5000).

The value obtained for the energy relative to the elements is 0.20 eV per atom. The calculation puts the electronic total energy at -28.4 eV/cell. The density comes out at 6.86 Mg/m³.

=====

A geometry-optimized YFe2Ni structure. Source: the Alexandria database, functional PBE.

The structure belongs to space group R3m (No. 160, hexagonal axes); the cell edges are 4.0403, 4.0403 and 14.3217 Å and the angles 90.00°, 90.00° and 120.00°. Symmetry generates all atoms from Y at (0.0000, 0.0000, 0.0000), Fe at (0.0000, 0.0000, 0.5086), Fe at (0.0000, 0.0000, 0.8004) and Ni at (0.0000, 0.0000, 0.1958).

The value obtained for the energy relative to the elements is -0.03 eV per atom. The calculation puts the electronic total energy at -87.9 eV/cell. The density comes out at 6.38 Mg/m³.

=====

A geometry-optimized YFeNi2 structure. Source: the Alexandria database, functional PBE.

The structure belongs to space group P4mm (No. 99); the cell edges are 3.1572, 3.1572 and 6.1735 Å and the angles 90.00°, 90.00° and 90.00°. Symmetry generates all atoms from Y at (0.0000, 0.0000, 0.0000), Fe at (0.5000, 0.5000, 0.3307), Ni at (0.0000, 0.0000, 0.5010) and Ni at (0.5000, 0.5000, 0.7143).

The value obtained for the energy relative to the elements is 0.05 eV per atom. The calculation puts the electronic total energy at -26.3 eV/cell. The density comes out at 7.07 Mg/m³.

=====

A geometry-optimized YFe3Ni structure. Source: the Alexandria database, functional PBE.

The structure belongs to space group Pm-3m (No. 221); the cell edges are 4.6122, 4.6122 and 4.6122 Å and the angles 90.00°, 90.00° and 90.00°. Symmetry generates all atoms from Y at (0.0000, 0.0000, 0.0000), Fe at (0.0000, 0.0000, 0.5000) and Ni at (0.5000, 0.5000, 0.5000).

The value obtained for the energy relative to the elements is 2.05 eV per atom. The calculation puts the electronic total energy at -27.4 eV/cell. The density comes out at 5.33 Mg/m³. The value obtained for the energy above the most stable polymorph in this dataset is 1556 meV/atom.

=====

A geometry-optimized YFe2Ni structure. Source: the Alexandria database, functional PBE.

The structure belongs to space group Fm-3m (No. 225); the cell edges are 6.2334, 6.2334 and 6.2334 Å and the angles 90.00°, 90.00° and 90.00°. Symmetry generates all atoms from Y at (0.0000, 0.0000, 0.0000), Fe at (0.2500, 0.2500, 0.2500) and Ni at (0.0000, 0.0000, 0.5000).

The value obtained for the energy relative to the elements is 0.29 eV per atom. The calculation puts the electronic total energy at -112.0 eV/cell. The density comes out at 7.11 Mg/m³.

=====

A geometry-optimized Y2ZnFe2Ni5 structure. Source: the Alexandria database, functional PBE.

The structure belongs to space group P4/mbm (No. 127); the cell edges are 8.9281, 8.9281 and 3.7272 Å and the angles 90.00°, 90.00° and 90.00°. Symmetry generates all atoms from Y at (0.1833, 0.3167, 0.0000), Zn at (0.0000, 0.0000, 0.0000), Fe at (0.1132, 0.6132, 0.0000), Ni at (0.0000, 0.5000, 0.5000) and Ni at (0.0610, 0.7876, 0.5000).

The value obtained for the energy relative to the elements is -0.12 eV per atom. The calculation puts the electronic total energy at -122.4 eV/cell. The density comes out at 7.25 Mg/m³.

=====

A geometry-optimized Y2Zn2FeNi5 structure. Source: the Alexandria database, functional PBE.

The structure belongs to space group P4/mbm (No. 127); the cell edges are 9.3003, 9.3003 and 3.4832 Å and the angles 90.00°, 90.00° and 90.00°. Symmetry generates all atoms from Y at (0.1766, 0.3234, 0.0000), Zn at (0.1220, 0.6220, 0.0000), Fe at (0.0000, 0.0000, 0.0000), Ni at (0.0000, 0.5000, 0.5000) and Ni at (0.0554, 0.8063, 0.5000).

The value obtained for the energy relative to the elements is -0.18 eV per atom. The calculation puts the electronic total energy at -109.2 eV/cell. The density comes out at 7.25 Mg/m³.

=====

A geometry-optimized Zn3FeNi structure. Source: the Alexandria database, functional PBE.

The structure belongs to space group Pm-3m (No. 221); the cell edges are 4.5167, 4.5167 and 4.5167 Å and the angles 90.00°, 90.00° and 90.00°. Symmetry generates all atoms from Zn at (0.0000, 0.0000, 0.5000), Fe at (0.0000, 0.0000, 0.0000) and Ni at (0.5000, 0.5000, 0.5000).

The value obtained for the energy relative to the elements is 0.90 eV per atom. The calculation puts the electronic total energy at -13.6 eV/cell. The density comes out at 5.60 Mg/m³. The value obtained for the energy above the most stable polymorph in this dataset is 274 meV/atom.

=====

A geometry-optimized ZnFeNi structure. Source: the Alexandria database, functional PBE.

The structure belongs to space group P3m1 (No. 156); the cell edges are 4.0750, 4.0750 and 2.5244 Å and the angles 90.00°, 90.00° and 120.00°. Symmetry generates all atoms from Zn at (0.0000, 0.0000, 0.0000), Fe at (0.6667, 0.3333, 0.4004) and Ni at (0.3333, 0.6667, 0.6837).

The value obtained for the energy relative to the elements is -0.03 eV per atom. The calculation puts the electronic total energy at -15.6 eV/cell. The density comes out at 8.23 Mg/m³. The value obtained for the energy above the most stable polymorph in this dataset is 46 meV/atom.

=====

A geometry-optimized ZnFe4Ni structure. Source: the Alexandria database, functional PBE.

The structure belongs to space group F-43m (No. 216); the cell edges are 6.6065, 6.6065 and 6.6065 Å and the angles 90.00°, 90.00° and 90.00°. Symmetry generates all atoms from Zn at (0.0000, 0.0000, 0.0000), Fe at (0.1251, 0.1251, 0.6251) and Ni at (0.2500, 0.2500, 0.2500).

The value obtained for the energy relative to the elements is 0.17 eV per atom. The calculation puts the electronic total energy at -159.6 eV/cell. The density comes out at 8.00 Mg/m³.

=====

A geometry-optimized Zn2FeNi6 structure. Source: the Alexandria database, functional PBE.

The structure belongs to space group P-62m (No. 189); the cell edges are 6.9183, 6.9183 and 2.5181 Å and the angles 90.00°, 90.00° and 120.00°. Symmetry generates all atoms from Zn at (0.3333, 0.6667, 0.0000), Fe at (0.0000, 0.0000, 0.5000), Ni at (0.0000, 0.2996, 0.0000) and Ni at (0.0000, 0.6457, 0.5000).

The value obtained for the energy relative to the elements is -0.07 eV per atom. The calculation puts the electronic total energy at -46.3 eV/cell. The density comes out at 8.57 Mg/m³. The value obtained for the energy above the most stable polymorph in this dataset is 0 meV/atom.